[1]
Below is crystalline Ho2Co3Ni12Ge at its relaxed geometry, with properties calculated at the PBE level.

Total DFT energy (no corrections) in eV for the cell shown: -104.41

Unit cell a=6.220 b=6.220 c=6.220 alpha=82.84 beta=82.84 gamma=82.84
Last column: magnetic moment on the atom in μB.
Fractional coordinates of all 18 atoms:
Ho1 0.725 0.725 0.725  -0.19
Ho2 0.275 0.275 0.275  -0.19
Co1 0.500 0.000 0.000  1.50
Co2 0.000 0.500 0.000  1.50
Co3 0.000 0.000 0.500  1.50
Ni1 0.421 0.421 0.853  0.40
Ni2 0.800 0.800 0.271  0.31
Ni3 0.271 0.800 0.800  0.31
Ni4 0.853 0.421 0.421  0.40
Ni5 0.800 0.271 0.800  0.31
Ni6 0.421 0.853 0.421  0.40
Ni7 0.579 0.579 0.147  0.40
Ni8 0.200 0.200 0.729  0.31
Ni9 0.729 0.200 0.200  0.31
Ni10 0.147 0.579 0.579  0.40
Ni11 0.200 0.729 0.200  0.31
Ni12 0.579 0.147 0.579  0.40
Ge1 0.000 0.000 0.000  -0.01

[2]
Below is crystalline Ho2CoNi3Ge4 at its relaxed geometry, with properties calculated at the PBE level.

Total DFT energy (no corrections) in eV for the cell shown: -58.66

Unit cell a=4.046 b=4.046 c=9.747 alpha=90.00 beta=90.00 gamma=90.00
Last column: magnetic moment on the atom in μB.
Fractional coordinates of all 10 atoms:
Ho1 0.500 0.000 0.251  0.00
Ho2 0.000 0.500 0.749  0.00
Co1 0.500 0.500 0.500  0.74
Ni1 0.000 0.000 0.500  0.20
Ni2 0.500 0.000 0.870  -0.02
Ni3 0.000 0.500 0.130  -0.02
Ge1 0.500 0.500 0.000  -0.01
Ge2 0.000 0.000 0.000  0.00
Ge3 0.500 0.000 0.630  0.00
Ge4 0.000 0.500 0.370  0.00

[3]
Below is crystalline Ho2Co3NiGe4 at its relaxed geometry, with properties calculated at the PBE level.

Total DFT energy (no corrections) in eV for the cell shown: -60.59

Unit cell a=4.041 b=4.041 c=9.704 alpha=90.00 beta=90.00 gamma=90.00
Last column: magnetic moment on the atom in μB.
Fractional coordinates of all 10 atoms:
Ho1 0.500 0.000 0.246  0.01
Ho2 0.000 0.500 0.754  0.01
Co1 0.000 0.000 0.500  0.63
Co2 0.500 0.000 0.872  0.00
Co3 0.000 0.500 0.128  0.00
Ni1 0.500 0.500 0.500  0.16
Ge1 0.500 0.500 0.000  0.00
Ge2 0.000 0.000 0.000  0.00
Ge3 0.500 0.000 0.633  0.00
Ge4 0.000 0.500 0.367  0.00

[4]
Below is crystalline HoCoNi2Ge2 at its relaxed geometry, with properties calculated at the PBE level.

Total DFT energy (no corrections) in eV for the cell shown: -33.40

Unit cell a=4.417 b=4.417 c=5.100 alpha=90.00 beta=90.00 gamma=90.00
Fractional coordinates of all 6 atoms:
Ho1 0.000 0.000 0.500
Co1 0.000 0.000 0.000
Ni1 0.500 0.500 0.741
Ni2 0.500 0.500 0.259
Ge1 0.500 0.000 0.000
Ge2 0.000 0.500 0.000

[5]
Below is crystalline HoCoGe2Os at its relaxed geometry, with properties calculated at the PBE level.

Total DFT energy (no corrections) in eV for the cell shown: -34.56

Unit cell a=4.100 b=4.100 c=5.823 alpha=110.61 beta=110.61 gamma=90.00
Fractional coordinates of all 5 atoms:
Ho1 0.000 0.000 0.000
Co1 0.750 0.250 0.500
Ge1 0.626 0.626 0.251
Ge2 0.374 0.374 0.749
Os1 0.250 0.750 0.500

[6]
Below is crystalline Ho2CoGe4Pt3 at its relaxed geometry, with properties calculated at the PBE level.

Total DFT energy (no corrections) in eV for the cell shown: -60.87

Unit cell a=4.101 b=4.101 c=10.744 alpha=90.00 beta=90.00 gamma=90.00
Last column: magnetic moment on the atom in μB.
Fractional coordinates of all 10 atoms:
Ho1 0.500 0.000 0.264  0.01
Ho2 0.000 0.500 0.736  0.01
Co1 0.500 0.500 0.500  0.75
Ge1 0.500 0.500 0.000  0.01
Ge2 0.000 0.000 0.000  0.01
Ge3 0.500 0.000 0.627  -0.01
Ge4 0.000 0.500 0.373  -0.01
Pt1 0.000 0.000 0.500  0.06
Pt2 0.500 0.000 0.855  0.00
Pt3 0.000 0.500 0.145  0.00